Record 1
A geometry-optimized LiPrRh4 structure. Source: Alexandria via LeMat-Bulk, functional PBE.

Summary:
DOS at the Fermi energy: 7.8 states/eV/f.u.
energy of formation: -0.368 eV per atom

a = 5.302 Å, b = 5.302 Å, c = 5.302 Å
α = 60.00°, β = 60.00°, γ = 60.00°
Element x y z (fractional)
Li 0.000 0.000 0.000
Pr 0.250 0.250 0.250
Rh 0.124 0.625 0.625
Rh 0.625 0.124 0.625
Rh 0.625 0.625 0.124
Rh 0.625 0.625 0.625



Record 2
A geometry-optimized Hf2Hg2As structure. Source: Alexandria via LeMat-Bulk, functional PBE.

Summary:
DOS at the Fermi energy: 4.1 states/eV/f.u.
energy of formation: -0.275 eV per atom

a = 6.956 Å, b = 6.956 Å, c = 4.626 Å
α = 90.00°, β = 90.00°, γ = 90.00°
Element x y z (fractional)
Hf 0.160 0.340 0.000
Hf 0.340 0.840 0.000
Hf 0.660 0.160 0.000
Hf 0.840 0.660 0.000
Hg 0.150 0.650 0.500
Hg 0.350 0.150 0.500
Hg 0.650 0.850 0.500
Hg 0.850 0.350 0.500
As 0.000 0.000 0.000
As 0.500 0.500 0.000



Record 3
A geometry-optimized SrMo2W structure. Source: Alexandria via LeMat-Bulk, functional PBE.

Summary:
DOS at the Fermi energy: 4.8 states/eV/f.u.
distance to the lowest polymorph of the same formula: 2 meV per atom
energy of formation: 0.705 eV per atom

a = 3.445 Å, b = 3.445 Å, c = 7.495 Å
α = 90.00°, β = 90.00°, γ = 90.00°
Element x y z (fractional)
Sr 0.000 0.000 0.000
Mo 0.500 0.500 0.339
Mo 0.500 0.500 0.661
W 0.000 0.000 0.500



Record 4
A geometry-optimized Sm6SnPb structure. Source: Alexandria via LeMat-Bulk, functional PBE.

Summary:
DOS at the Fermi energy: 8.5 states/eV/f.u.
energy of formation: -0.384 eV per atom

a = 4.918 Å, b = 4.918 Å, c = 9.832 Å
α = 90.00°, β = 90.00°, γ = 90.00°
Element x y z (fractional)
Sm 0.000 0.000 0.000
Sm 0.000 0.000 0.500
Sm 0.000 0.500 0.247
Sm 0.000 0.500 0.753
Sm 0.500 0.000 0.247
Sm 0.500 0.000 0.753
Sn 0.500 0.500 0.000
Pb 0.500 0.500 0.500



Record 5
A geometry-optimized TbNd3Sn2 structure. Source: Alexandria via LeMat-Bulk, functional PBE.

Summary:
DOS at the Fermi energy: 7.7 states/eV/f.u.
distance to the lowest polymorph of the same formula: 0 meV per atom
energy of formation: -0.578 eV per atom

a = 4.641 Å, b = 4.641 Å, c = 8.761 Å
α = 90.00°, β = 90.00°, γ = 90.00°
Element x y z (fractional)
Tb 0.000 0.000 0.000
Nd 0.000 0.500 0.350
Nd 0.500 0.000 0.650
Nd 0.500 0.500 0.000
Sn 0.000 0.500 0.723
Sn 0.500 0.000 0.277



Record 6
A geometry-optimized Zn8Ga2Pd3 structure. Source: Alexandria via LeMat-Bulk, functional PBE.

Summary:
DOS at the Fermi energy: 2.9 states/eV/f.u.
energy of formation: -0.164 eV per atom

a = 9.930 Å, b = 9.930 Å, c = 9.930 Å
α = 29.19°, β = 29.19°, γ = 29.19°
Element x y z (fractional)
Zn 0.225 0.225 0.225
Zn 0.225 0.225 0.725
Zn 0.225 0.725 0.225
Zn 0.275 0.775 0.775
Zn 0.725 0.225 0.225
Zn 0.775 0.275 0.775
Zn 0.775 0.775 0.275
Zn 0.775 0.775 0.775
Ga 0.140 0.140 0.140
Ga 0.860 0.860 0.860
Pd 0.314 0.314 0.314
Pd 0.500 0.500 0.500
Pd 0.686 0.686 0.686



Record 7
A geometry-optimized AlSb2HPb structure. Source: Alexandria via LeMat-Bulk, functional PBE.

Summary:
raw total energy: -3.74 eV/atom
DOS at the Fermi energy: 1.4 states/eV/f.u.

a = 5.826 Å, b = 5.826 Å, c = 3.369 Å
α = 90.00°, β = 90.00°, γ = 90.00°
Element x y z (fractional)
Al 0.000 0.000 0.000
Sb 0.000 0.500 0.000
Sb 0.500 0.000 0.000
H 0.000 0.000 0.500
Pb 0.500 0.500 0.500



Record 8
A geometry-optimized Sc7Hg2Pd2 structure. Source: Alexandria via LeMat-Bulk, functional PBE.

Summary:
DOS at the Fermi energy: 13.7 states/eV/f.u.
energy of formation: -0.279 eV per atom

a = 6.410 Å, b = 6.410 Å, c = 6.698 Å
α = 90.00°, β = 90.00°, γ = 107.68°
Element x y z (fractional)
Sc 0.000 0.000 0.000
Sc 0.000 0.500 0.260
Sc 0.000 0.500 0.740
Sc 0.500 0.000 0.260
Sc 0.500 0.000 0.740
Sc 0.500 0.500 0.249
Sc 0.500 0.500 0.751
Hg 0.188 0.188 0.500
Hg 0.812 0.812 0.500
Pd 0.289 0.711 0.000
Pd 0.711 0.289 0.000



| no. | total magnetic moment (μB per formula unit) |
| --- | --- |
| 1 | 0.01 |
| 2 | 0.00 |
| 3 | 0.00 |
| 4 | 0.00 |
| 5 | 0.00 |
| 6 | 0.00 |
| 7 | 0.00 |
| 8 | 0.00 |